1.
Material: ScAlAs2
Method: DFT, PBE-GGA
State: relaxed

Cell: 3.0804 3.0804 8.6950 Å, 90.00 90.00 97.53°
Last column: nearest neighbours and their distance in Å.
Fractional positions:
1 Sc 0.0000 0.0000 0.5053  4 As 2.76-2.98, 2 Al 2.99, 4 Sc 3.08
2 As 0.0000 0.0000 0.9476  4 Al 2.62-2.85
3 As 0.5000 0.5000 0.2900  4 Sc 2.76-2.98, 4 As 3.08
4 Al 0.5000 0.5000 0.7571  4 As 2.62-2.85


2.
Material: ScAlAs2
Method: DFT, PBE-GGA
State: relaxed

Cell: 5.0150 5.0150 5.0150 Å, 135.70 118.14 79.21°
Last column: nearest neighbours and their distance in Å.
Fractional positions:
1 Sc 0.7500 0.2500 0.5000  8 As 2.84-3.12
2 As 0.0235 0.0235 0.0000  2 Al 2.58, 2 Sc 2.84
3 As 0.4765 0.4765 0.0000  2 Al 2.58, 2 Sc 2.84
4 Al 0.2500 0.7500 0.5000  4 As 2.58


3.
Material: ScAlAs2
Method: DFT, PBE-GGA
State: relaxed

Cell: 4.5223 4.5223 3.5868 Å, 90.00 90.00 89.95°
Last column: nearest neighbours and their distance in Å.
Fractional positions:
1 Sc 0.5000 0.0000 0.5000  8 As 2.89, 4 Al 3.20
2 As 0.0000 0.0000 0.0000  4 Sc 2.89, 4 Al 2.89, 4 As 3.20
3 As 0.5000 0.5000 0.0000  4 Al 2.89, 4 Sc 2.89, 4 As 3.20
4 Al 0.0000 0.5000 0.5000  8 As 2.89, 4 Sc 3.20


What are the DFT formation energy values for these records? In order: -195, -437, -484 meV/atom.
What are the raw total energy values for these records? In order: -20.155, -21.123, -21.310 eV per cell.